Entry 1:
Ti7FeRh2: optimized geometry, PBE.

The structure in CIF format:
```
data_Ti7FeRh2
_cell_length_a 8.868
_cell_length_b 8.868
_cell_length_c 8.868
_cell_angle_alpha 90.00
_cell_angle_beta 90.00
_cell_angle_gamma 90.00
_symmetry_space_group_name_H-M 'F m -3 m'
_symmetry_Int_Tables_number 225
_symmetry_space_group_name_Hall '-F 4 2 3'
loop_
_atom_site_label
_atom_site_fract_x
_atom_site_fract_y
_atom_site_fract_z
Ti1 0.000 0.000 0.000
Ti2 0.000 0.000 0.255
Fe1 0.000 0.000 0.500
Rh1 0.250 0.250 0.250
```

## Properties
raw total energy	-7.30	eV/atom
spin magnetization	0.0	μB per cell
V	17.4	Å³ per atom
N(E_F)	61.67	states/eV/cell
energy relative to the elements	0.54	eV/atom

***

Entry 2:
HoThGaOs: optimized geometry, PBE.

The structure in CIF format:
```
data_HoThGaOs
_cell_length_a 7.117
_cell_length_b 7.117
_cell_length_c 7.117
_cell_angle_alpha 90.00
_cell_angle_beta 90.00
_cell_angle_gamma 90.00
_symmetry_space_group_name_H-M 'F -4 3 m'
_symmetry_Int_Tables_number 216
_symmetry_space_group_name_Hall 'F -4 2 3'
loop_
_atom_site_label
_atom_site_fract_x
_atom_site_fract_y
_atom_site_fract_z
Ho1 0.000 0.000 0.000
Th1 0.000 0.000 0.500
Ga1 0.250 0.250 0.750
Os1 0.250 0.250 0.250
```

## Properties
raw total energy	-6.87	eV/atom
spin magnetization	0.0	μB per cell
V	22.5	Å³ per atom
N(E_F)	10.60	states/eV/cell
energy relative to the elements	-0.30	eV/atom
E above lowest polymorph	0.1926	eV per atom

***

Entry 3:
SmY2Hg8: optimized geometry, PBE.

The structure in CIF format:
```
data_SmY2Hg8
_cell_length_a 5.097
_cell_length_b 7.495
_cell_length_c 14.560
_cell_angle_alpha 90.00
_cell_angle_beta 90.00
_cell_angle_gamma 90.00
_symmetry_space_group_name_H-M 'I m m m'
_symmetry_Int_Tables_number 71
_symmetry_space_group_name_Hall '-I 2 2'
loop_
_atom_site_label
_atom_site_fract_x
_atom_site_fract_y
_atom_site_fract_z
Sm1 0.000 0.000 0.000
Y1 0.000 0.000 0.306
Hg1 0.000 0.206 0.500
Hg2 0.000 0.290 0.148
Hg3 0.000 0.500 0.343
```

## Properties
raw total energy	-2.14	eV/atom
spin magnetization	0.0	μB per cell
V	25.3	Å³ per atom
N(E_F)	11.40	states/eV/cell
energy relative to the elements	-0.32	eV/atom

***

Entry 4:
PrTlCuAu: optimized geometry, PBE.

The structure in CIF format:
```
data_PrTlCuAu
_cell_length_a 7.093
_cell_length_b 7.093
_cell_length_c 7.093
_cell_angle_alpha 90.00
_cell_angle_beta 90.00
_cell_angle_gamma 90.00
_symmetry_space_group_name_H-M 'F -4 3 m'
_symmetry_Int_Tables_number 216
_symmetry_space_group_name_Hall 'F -4 2 3'
loop_
_atom_site_label
_atom_site_fract_x
_atom_site_fract_y
_atom_site_fract_z
Pr1 0.000 0.000 0.000
Tl1 0.000 0.000 0.500
Cu1 0.250 0.250 0.750
Au1 0.250 0.250 0.250
```

## Properties
raw total energy	-3.96	eV/atom
spin magnetization	0.0	μB per cell
V	22.3	Å³ per atom
N(E_F)	11.72	states/eV/cell
energy relative to the elements	-0.33	eV/atom

***

Entry 5:
CsPt3: optimized geometry, PBE.

The structure in CIF format:
```
data_CsPt3
_cell_length_a 7.922
_cell_length_b 4.575
_cell_length_c 6.942
_cell_angle_alpha 90.00
_cell_angle_beta 112.23
_cell_angle_gamma 90.00
_symmetry_space_group_name_H-M 'C 1 2/m 1'
_symmetry_Int_Tables_number 12
loop_
_symmetry_equiv_pos_as_xyz
'x,y,z'
'-x,-y,-z'
'-x,y,-z'
'x,-y,z'
'x+1/2,y+1/2,z'
'-x+1/2,-y+1/2,-z'
'-x+1/2,y+1/2,-z'
'x+1/2,-y+1/2,z'
loop_
_atom_site_label
_atom_site_fract_x
_atom_site_fract_y
_atom_site_fract_z
Cs1 0.000 0.000 0.000
Pt1 0.000 0.500 0.500
Pt2 0.172 0.000 0.517
```

## Properties
raw total energy	-4.90	eV/atom
spin magnetization	0.0	μB per cell
V	29.1	Å³ per atom
N(E_F)	10.22	states/eV/cell
energy relative to the elements	-0.16	eV/atom

***

Entry 6:
LiNbPtO4: optimized geometry, PBE.

The structure in CIF format:
```
data_LiNbPtO4
_cell_length_a 5.919
_cell_length_b 5.989
_cell_length_c 10.482
_cell_angle_alpha 90.00
_cell_angle_beta 90.00
_cell_angle_gamma 90.00
_symmetry_space_group_name_H-M 'I m m a'
_symmetry_Int_Tables_number 74
_symmetry_space_group_name_Hall '-I 2b 2'
loop_
_atom_site_label
_atom_site_fract_x
_atom_site_fract_y
_atom_site_fract_z
Li1 0.000 0.250 0.155
Nb1 0.000 0.000 0.500
Pt1 0.250 0.250 0.750
O1 0.000 0.029 0.700
O2 0.222 0.250 0.468
```

## Properties
formation energy from raw total energies	-1.643	eV per atom
raw total energy	-7.05	eV/atom
spin magnetization	0.0	μB per cell
V	13.3	Å³ per atom
N(E_F)	6.41	states/eV/cell

***

Entry 7:
NiPt3S: optimized geometry, PBE.

The structure in CIF format:
```
data_NiPt3S
_cell_length_a 4.461
_cell_length_b 4.461
_cell_length_c 4.461
_cell_angle_alpha 90.00
_cell_angle_beta 90.00
_cell_angle_gamma 90.00
_symmetry_space_group_name_H-M 'P m -3 m'
_symmetry_Int_Tables_number 221
_symmetry_space_group_name_Hall '-P 4 2 3'
loop_
_atom_site_label
_atom_site_fract_x
_atom_site_fract_y
_atom_site_fract_z
Ni1 0.000 0.000 0.000
Pt1 0.000 0.500 0.500
S1 0.500 0.500 0.500
```

## Properties
formation energy from raw total energies	0.591	eV per atom
raw total energy	-5.02	eV/atom
spin magnetization	0.9	μB per cell
V	17.8	Å³ per atom
N(E_F)	5.83	states/eV/cell
E above lowest polymorph	0.0000	eV per atom

***

Entry 8:
EuY2V: optimized geometry, PBE.

The structure in CIF format:
```
data_EuY2V
_cell_length_a 3.4271
_cell_length_b 3.4271
_cell_length_c 35.2575
_cell_angle_alpha 90.00
_cell_angle_beta 90.00
_cell_angle_gamma 120.00
_symmetry_space_group_name_H-M 'R -3 m'
_symmetry_Int_Tables_number 166
_symmetry_space_group_name_Hall '-R 3 2"'
loop_
_atom_site_label
_atom_site_fract_x
_atom_site_fract_y
_atom_site_fract_z
Eu1 0.0000 0.0000 0.0000
Y1 0.0000 0.0000 0.4211
V1 0.0000 0.0000 0.5000
```

## Properties
raw total energy	-7.39	eV/atom
spin magnetization	13.7	μB per cell
V	29.9	Å³ per atom
N(E_F)	18.27	states/eV/cell
energy relative to the elements	0.69	eV/atom

***

Entry 9:
DyMg2Mo3S8: optimized geometry, PBE.

The structure in CIF format:
```
data_DyMg2Mo3S8
_cell_length_a 7.5668
_cell_length_b 7.5668
_cell_length_c 18.2449
_cell_angle_alpha 90.00
_cell_angle_beta 90.00
_cell_angle_gamma 120.00
_symmetry_space_group_name_H-M 'R -3 m'
_symmetry_Int_Tables_number 166
_symmetry_space_group_name_Hall '-R 3 2"'
loop_
_atom_site_label
_atom_site_fract_x
_atom_site_fract_y
_atom_site_fract_z
Dy1 0.0000 0.0000 0.0000
Mg1 0.0000 0.0000 0.3770
Mo1 0.0000 0.5000 0.5000
S1 0.0000 0.0000 0.2390
S2 0.0143 0.5072 0.7603
```

## Properties
formation energy from raw total energies	-0.905	eV per atom
raw total energy	-6.14	eV/atom
spin magnetization	25.8	μB per cell
V	21.5	Å³ per atom
N(E_F)	9.06	states/eV/cell

***

Entry 10:
Tb6CdAu5: optimized geometry, PBE.

The structure in CIF format:
```
data_Tb6CdAu5
_cell_length_a 8.877
_cell_length_b 15.488
_cell_length_c 5.135
_cell_angle_alpha 90.00
_cell_angle_beta 125.23
_cell_angle_gamma 90.00
_symmetry_space_group_name_H-M 'C 1 2/m 1'
_symmetry_Int_Tables_number 12
loop_
_symmetry_equiv_pos_as_xyz
'x,y,z'
'-x,-y,-z'
'-x,y,-z'
'x,-y,z'
'x+1/2,y+1/2,z'
'-x+1/2,-y+1/2,-z'
'-x+1/2,y+1/2,-z'
'x+1/2,-y+1/2,z'
loop_
_atom_site_label
_atom_site_fract_x
_atom_site_fract_y
_atom_site_fract_z
Tb1 0.239 0.000 0.240
Tb2 0.246 0.171 0.746
Cd1 0.000 0.500 0.000
Au1 0.000 0.000 0.500
Au2 0.000 0.168 0.000
Au3 0.000 0.346 0.500
```

## Properties
raw total energy	-4.52	eV/atom
spin magnetization	0.0	μB per cell
V	24.0	Å³ per atom
N(E_F)	11.82	states/eV/cell
energy relative to the elements	-0.76	eV/atom

***

Entry 11:
NdMg2Pb: optimized geometry, PBE.

The structure in CIF format:
```
data_NdMg2Pb
_cell_length_a 3.631
_cell_length_b 3.631
_cell_length_c 8.401
_cell_angle_alpha 90.00
_cell_angle_beta 90.00
_cell_angle_gamma 90.00
_symmetry_space_group_name_H-M 'P 4/m m m'
_symmetry_Int_Tables_number 123
_symmetry_space_group_name_Hall '-P 4 2'
loop_
_atom_site_label
_atom_site_fract_x
_atom_site_fract_y
_atom_site_fract_z
Nd1 0.000 0.000 0.000
Mg1 0.500 0.500 0.271
Pb1 0.000 0.000 0.500
```

## Properties
raw total energy	-3.04	eV/atom
spin magnetization	0.1	μB per cell
V	27.7	Å³ per atom
N(E_F)	2.16	states/eV/cell
energy relative to the elements	-0.12	eV/atom
E above lowest polymorph	0.2102	eV per atom

***

Entry 12:
La2MoW: optimized geometry, PBE.

The structure in CIF format:
```
data_La2MoW
_cell_length_a 3.547
_cell_length_b 5.305
_cell_length_c 10.662
_cell_angle_alpha 90.00
_cell_angle_beta 90.00
_cell_angle_gamma 90.00
_symmetry_space_group_name_H-M 'I m m 2'
_symmetry_Int_Tables_number 44
loop_
_symmetry_equiv_pos_as_xyz
'x,y,z'
'-x,-y,z'
'-x,y,z'
'x,-y,z'
'x+1/2,y+1/2,z+1/2'
'-x+1/2,-y+1/2,z+1/2'
'-x+1/2,y+1/2,z+1/2'
'x+1/2,-y+1/2,z+1/2'
loop_
_atom_site_label
_atom_site_fract_x
_atom_site_fract_y
_atom_site_fract_z
La1 0.000 0.000 0.000
La2 0.000 0.500 0.230
Mo1 0.000 0.000 0.450
W1 0.000 0.500 0.786
```

## Properties
raw total energy	-7.99	eV/atom
spin magnetization	0.0	μB per cell
V	25.1	Å³ per atom
N(E_F)	7.39	states/eV/cell
energy relative to the elements	0.42	eV/atom
E above lowest polymorph	0.1298	eV per atom